Entry 1:
Computed, not measured: crystalline CaCu3Ir at its relaxed geometry at the GGA-PBE level of DFT.

Raw total energy ... -4.266 eV/atom
Density of states at the Fermi level ... 3.9 states/eV per cell
Relative energy among the computed polymorphs ... 0.000 eV/atom
Total magnetic moment ... 0.00 μB/cell
ΔH_f (0 K) ... 0.365 eV/atom

Cell: 4.7055 4.7055 4.7055 Å, 90.00 90.00 90.00°
With the nearest neighbours (Å) after each atom.
Space group Pm-3m (No. 221)
Unique sites:
Ca  0.0000  0.0000  0.0000  12 Cu 3.33
Cu  0.0000  0.5000  0.5000  2 Ir 2.35
Ir  0.5000  0.5000  0.5000  6 Cu 2.35



Entry 2:
Computed, not measured: crystalline CaCu2Ir at its relaxed geometry at the GGA-PBE level of DFT.

Raw total energy ... -4.570 eV/atom
Density of states at the Fermi level ... 10.1 states/eV per cell
Relative energy among the computed polymorphs ... 0.285 eV/atom
Total magnetic moment ... 0.00 μB/cell
ΔH_f (0 K) ... 0.193 eV/atom

Cell: 6.3883 6.3883 6.3883 Å, 90.00 90.00 90.00°
With the nearest neighbours (Å) after each atom.
Space group F-43m (No. 216)
Unique sites:
Ca  0.0000  0.0000  0.0000  4 Cu 2.77, 4 Ir 2.77
Cu  0.0000  0.0000  0.5000  4 Ir 2.77, 4 Cu 2.77
Cu  0.2500  0.2500  0.7500  4 Ca 2.77, 4 Cu 2.77
Ir  0.2500  0.2500  0.2500  4 Ca 2.77, 4 Cu 2.77